This record from Alexandria via LeMat-Bulk describes a relaxed structure of CaCoN2F. The functional is PBE with a Hubbard U.

Results
As for the relative energy among the computed polymorphs: 0 meV per atom. The calculation puts the volume at 61.9 Å³/f.u. As for the calculated total energy: -27.7 eV per cell. Its crystal system is tetragonal.

a b c (Å): 3.5317 3.5317 4.9630
angles (deg): 90.00 90.00 90.00
Space group P4/mmm (No. 123)
Inequivalent atoms, fractional coordinates:
Ca 0.0000 0.0000 0.0000
Co 0.5000 0.5000 0.5000
N 0.0000 0.5000 0.5000
F 0.5000 0.5000 0.0000